LiMn2Rh at its PBEsol-relaxed geometry, computed with meta-GGA SCAN.

Unit cell a=2.6514 b=2.6514 c=8.6919 alpha=90.00 beta=90.00 gamma=114.12
Closest atoms and distances in Å follow each position.
Fractional coordinates of all 4 atoms:
Li: 0.5000 0.5000 0.0000  6 Li 2.65-2.88, 4 Mn 2.70
Mn: 0.0000 0.0000 0.2629  2 Rh 2.51, 4 Mn 2.65, 2 Li 2.70
Mn: 0.0000 0.0000 0.7371  2 Rh 2.51, 4 Mn 2.65, 2 Li 2.70
Rh: 0.5000 0.5000 0.5000  4 Mn 2.51, 4 Rh 2.65

- V (Å³ per cell) = 55.8
- DFT formation energy (eV/atom) = -0.029
- theoretical density (g cm⁻³) = 6.54